Arrangement i

Below is an optimized crystal structure of Er2TeS2, with properties calculated at the PBE level.

Cell lengths 9.1939, 10.5863, 6.6222 Å; angles 90.00, 122.83, 90.00 degrees
With the nearest neighbours (Å) after each atom.
Space group C2/c (No. 15)
Unique sites:
1 Er 0.0000 0.0883 0.2500 [4 per cell]  4 S 2.65-2.67
2 Er 0.0000 0.3237 0.7500 [4 per cell]  4 S 2.69-2.76
3 Te 0.0000 0.3722 0.2500 [4 per cell]  4 Er 3.01-3.35
4 S 0.1640 0.1122 0.0243 [8 per cell]  4 Er 2.65-2.76

Values from the calculation:
Total magnetic moment in μB/f.u.: 0.0

Arrangement ii

Below is an optimized crystal structure of Er2TeS2, with properties calculated at the PBE level.

Cell lengths 4.1482, 5.3255, 13.4079 Å; angles 90.00, 90.00, 90.00 degrees
With the nearest neighbours (Å) after each atom.
Space group Immm (No. 71)
Unique sites:
1 Er 0.0000 0.0000 0.1673 [4 per cell]  4 S 2.71
2 Te 0.0000 0.5000 0.5000 [2 per cell]  4 Er 3.05
3 S 0.0000 0.5000 0.2030 [4 per cell]  4 Er 2.71

Values from the calculation:
Total magnetic moment in μB/f.u.: 0.0

Relative calculated energies, zero for the most stable structure, unit meV per atom: arrangement i 135; arrangement ii 0.

Arrangement i

Below is an optimized crystal structure of Er2TeS, with properties calculated at the PBE level.

Cell lengths 5.6597, 6.2831, 11.3269 Å; angles 90.00, 90.00, 90.00 degrees
With the nearest neighbours (Å) after each atom.
Space group Pmna (No. 53)
Unique sites:
1 Er 0.0000 0.1827 0.1349 [4 per cell]  3 S 2.70-2.85
2 Er 0.0000 0.1905 0.6073 [4 per cell]  2 S 2.70-2.72, 2 Te 2.94
3 Te 0.0000 0.3116 0.8710 [4 per cell]  6 Er 2.94-3.18
4 S 0.0000 0.2403 0.3709 [4 per cell]  5 Er 2.70-2.85

Values from the calculation:
Total magnetic moment in μB/f.u.: 0.0

Arrangement ii

Below is an optimized crystal structure of Er2TeS, with properties calculated at the PBE level.

Cell lengths 3.9739, 3.9739, 21.1875 Å; angles 90.00, 90.00, 120.00 degrees
With the nearest neighbours (Å) after each atom.
Space group R3m (No. 160, hexagonal axes)
Unique sites:
1 Er 0.0000 0.0000 0.0000 [3 per cell]  3 S 2.70
2 Er 0.0000 0.0000 0.1951 [3 per cell]  3 S 2.75
3 Te 0.0000 0.0000 0.4302 [3 per cell]  6 Er 3.08-3.10
4 S 0.0000 0.0000 0.5999 [3 per cell]  6 Er 2.70-2.75

Values from the calculation:
Total magnetic moment in μB/f.u.: 0.0

Relative calculated energies, zero for the most stable structure, unit meV per atom: arrangement i 139; arrangement ii 0.

Arrangement i

Below is an optimized crystal structure of ErTiS2, with properties calculated at the PBE level.

Cell lengths 3.6167, 3.6167, 19.0844 Å; angles 90.00, 90.00, 120.00 degrees
With the nearest neighbours (Å) after each atom.
Space group R3m (No. 160, hexagonal axes)
Unique sites:
1 Er 0.0000 0.0000 0.0000 [3 per cell]  6 S 2.68-2.77
2 Ti 0.0000 0.0000 0.8228 [3 per cell]  6 S 2.46-2.60
3 S 0.0000 0.0000 0.2377 [3 per cell]  3 Ti 2.60, 3 Er 2.77
4 S 0.0000 0.0000 0.4217 [3 per cell]  3 Ti 2.46, 3 Er 2.68

Values from the calculation:
Total magnetic moment in μB/f.u.: 0.5

Arrangement ii

Below is an optimized crystal structure of ErTiS2, with properties calculated at the PBE level.

Cell lengths 3.7163, 3.7163, 17.8787 Å; angles 90.00, 90.00, 120.00 degrees
With the nearest neighbours (Å) after each atom.
Space group R-3m (No. 166, hexagonal axes)
Unique sites:
1 Er 0.0000 0.0000 0.0000 [3 per cell]  6 S 2.69
2 Ti 0.0000 0.0000 0.5000 [3 per cell]  6 S 2.54
3 S 0.0000 0.0000 0.2425 [6 per cell]  3 Ti 2.54, 3 Er 2.69

Values from the calculation:
Total magnetic moment in μB/f.u.: 0.0

Relative calculated energies, zero for the most stable structure, unit meV per atom: arrangement i 8; arrangement ii 0.